No. 1
First-principles (PBE) data for Gd2DyFe after structural relaxation, as listed in Alexandria.

Geometry as POSCAR:
```
Gd2DyFe
1.0
1.7385 1.0037 10.5408
-1.7385 1.0037 10.5408
0.0000 -2.0074 10.5408
Gd Dy Fe
2 1 1
Direct
0.1081 0.1081 0.1081 Gd
0.8919 0.8919 0.8919 Gd
0.0000 0.0000 0.0000 Dy
0.5000 0.5000 0.5000 Fe
```

Results
As for the magnetization: 15.9 μB/f.u. Its crystal system is trigonal. Its density is 8.0 g/cm³. As for the excess energy over the best structure of this formula in the dataset: 0.2769 eV/atom. The value obtained for the volume is 27.59 Å³ per atom. As for the total DFT energy (no corrections): -9.937 eV per atom.



No. 2
First-principles (PBE) data for HgTe2O6 after structural relaxation, as listed in Alexandria.

Geometry as POSCAR:
```
HgTe2O6
1.0
6.3111 0.0000 0.0000
0.0000 13.1527 0.0000
-3.5480 0.0000 7.2954
Hg Te O
4 8 24
Direct
0.2219 0.0883 0.3277 Hg
0.2219 0.4117 0.8277 Hg
0.7781 0.5883 0.1723 Hg
0.7781 0.9117 0.6723 Hg
0.1402 0.1175 0.8147 Te
0.1402 0.3825 0.3147 Te
0.3702 0.7166 0.7892 Te
0.3702 0.7834 0.2892 Te
0.6298 0.2166 0.7108 Te
0.6298 0.2834 0.2108 Te
0.8598 0.6175 0.6853 Te
0.8598 0.8825 0.1853 Te
0.0168 0.7400 0.8012 O
0.0168 0.7600 0.3012 O
0.1056 0.5185 0.2320 O
0.1056 0.9815 0.7320 O
0.1651 0.5977 0.6622 O
0.1651 0.9023 0.1622 O
0.3392 0.1363 0.0601 O
0.3392 0.3637 0.5601 O
0.3609 0.1307 0.7055 O
0.3609 0.3693 0.2055 O
0.4575 0.6687 0.0339 O
0.4575 0.8313 0.5339 O
0.5425 0.1687 0.4661 O
0.5425 0.3313 0.9661 O
0.6391 0.6307 0.7945 O
0.6391 0.8693 0.2945 O
0.6608 0.6363 0.4399 O
0.6608 0.8637 0.9399 O
0.8349 0.0977 0.8378 O
0.8349 0.4023 0.3378 O
0.8944 0.0185 0.2680 O
0.8944 0.4815 0.7680 O
0.9832 0.2400 0.6988 O
0.9832 0.2600 0.1988 O
```

Results
As for the magnetization: 0.0 μB/f.u. Its crystal system is monoclinic. Its density is 6.1 g/cm³. As for the excess energy over the best structure of this formula in the dataset: 0.0000 eV/atom. The value obtained for the volume is 16.82 Å³ per atom. As for the total DFT energy (no corrections): -4.793 eV per atom.



No. 3
First-principles (PBE) data for La7TbTl4 after structural relaxation, as listed in Alexandria.

Geometry as POSCAR:
```
La7TbTl4
1.0
7.4905 -3.0078 0.0000
7.4905 3.0078 0.0000
-6.1300 0.0000 9.1365
La Tb Tl
7 1 4
Direct
0.0000 0.0000 0.0000 La
0.2193 0.2193 0.6544 La
0.2988 0.2988 0.1165 La
0.4413 0.4413 0.6186 La
0.5587 0.5587 0.3814 La
0.7012 0.7012 0.8835 La
0.7807 0.7807 0.3456 La
0.5000 0.5000 0.0000 Tb
0.0587 0.0587 0.7535 Tl
0.1878 0.1878 0.3335 Tl
0.8122 0.8122 0.6665 Tl
0.9413 0.9413 0.2465 Tl
```

Results
As for the magnetization: 0.0 μB/f.u. Its crystal system is monoclinic. Its density is 7.9 g/cm³. The value obtained for the volume is 34.31 Å³ per atom. As for the total DFT energy (no corrections): -4.165 eV per atom.